[1]
La6Co2RhCl3: relaxed, PBE-GGA.

Size of the total moment, Bohr magnetons per cell: 0.00
E_form (uncorrected), eV/atom: -1.0542
Uncorrected energy, eV per atom: -5.776

Unit cell a=19.3325 b=4.0628 c=8.9929 alpha=90.00 beta=110.83 gamma=90.00
Space group C2/m (No. 12)
Asymmetric unit:
La: 0.0134 0.0000 0.2309 x4
La: 0.1596 0.5000 0.1170 x4
La: 0.1783 0.5000 0.5550 x4
Co: 0.1676 0.0000 0.3347 x4
Rh: 0.0000 0.5000 0.0000 x2
Cl: 0.0000 0.5000 0.5000 x2
Cl: 0.1667 0.0000 0.8326 x4



[2]
BiP2SO: relaxed, PBE-GGA.

Size of the total moment, Bohr magnetons per cell: 0.00
E_form (uncorrected), eV/atom: 0.3493
Uncorrected energy, eV per atom: -4.408
Energy above the most stable polymorph in this dataset, meV per atom: 0

Unit cell a=4.8089 b=4.8089 c=3.6626 alpha=90.00 beta=90.00 gamma=90.00
Space group P4/mmm (No. 123)
Asymmetric unit:
Bi: 0.0000 0.0000 0.0000 x1
P: 0.0000 0.5000 0.5000 x2
S: 0.5000 0.5000 0.5000 x1
O: 0.5000 0.5000 0.0000 x1



[3]
TeSN2F: relaxed, PBE-GGA.

Size of the total moment, Bohr magnetons per cell: 2.28
E_form (uncorrected), eV/atom: 1.4914
Uncorrected energy, eV per atom: -3.667
Energy above the most stable polymorph in this dataset, meV per atom: 388

Unit cell a=3.8962 b=3.8962 c=5.5047 alpha=90.00 beta=90.00 gamma=90.00
Space group P4/mmm (No. 123)
Asymmetric unit:
Te: 0.0000 0.0000 0.0000 x1
S: 0.0000 0.0000 0.5000 x1
N: 0.0000 0.5000 0.0000 x2
F: 0.5000 0.5000 0.5000 x1



It is found that the density of states at the Fermi level values, taken in the order of the records, are 7.2, 2.8, 3.3 states/eV per cell.